[1]
Computed, not measured: a geometry-optimized Ca2YPt structure at the PBEsol level of DFT.

```
Ca2YPt
1.0
4.3191 0.0000 0.0000
0.0000 4.3191 0.0000
0.0000 0.0000 5.2803
Ca Y Pt
2 1 1
Direct
0.0000 0.5000 0.0000
0.5000 0.0000 0.0000
0.0000 0.0000 0.5000
0.5000 0.5000 0.5000
```

As for the total energy: -4.82 eV per atom. As for the polymorph energy (0 for the lowest one): 249 meV/atom. As for the formation energy: -0.308 eV per atom.

[2]
Computed, not measured: a geometry-optimized Ca2ZnPt structure at the PBEsol level of DFT.

```
Ca2ZnPt
1.0
3.5195 0.0000 0.0000
0.0000 3.5195 0.0000
0.0000 0.0000 7.0132
Ca Zn Pt
2 1 1
Direct
0.0000 0.0000 0.2330
0.0000 0.0000 0.7670
0.5000 0.5000 0.5000
0.5000 0.5000 0.0000
```

As for the total energy: -3.72 eV per atom. As for the formation energy: -0.516 eV per atom.

[3]
Computed, not measured: a geometry-optimized CaZn2Pt2 structure at the PBEsol level of DFT.

```
CaZn2Pt2
1.0
7.5761 0.0000 0.0000
0.0000 7.5761 0.0000
0.0000 0.0000 2.8556
Ca Zn Pt
2 4 4
Direct
0.0000 0.0000 0.0000
0.5000 0.5000 0.0000
0.1360 0.3640 0.5000
0.3640 0.8640 0.5000
0.6360 0.1360 0.5000
0.8640 0.6360 0.5000
0.1593 0.6593 0.0000
0.3407 0.1593 0.0000
0.6593 0.8407 0.0000
0.8407 0.3407 0.0000
```

As for the total energy: -4.44 eV per atom. As for the polymorph energy (0 for the lowest one): 0 meV/atom. As for the formation energy: -0.599 eV per atom.

[4]
Computed, not measured: a geometry-optimized CaZn2Pt structure at the PBEsol level of DFT.

```
CaZn2Pt
1.0
2.1700 1.2529 4.9315
-2.1700 1.2529 4.9315
0.0000 -2.5057 4.9315
Ca Zn Pt
1 2 1
Direct
0.0000 0.0000 0.0000
0.5258 0.5258 0.5258
0.8049 0.8049 0.8049
0.1954 0.1954 0.1954
```

As for the total energy: -3.59 eV per atom. As for the formation energy: -0.524 eV per atom.

[5]
Computed, not measured: a geometry-optimized Ca2Zn2Pt structure at the PBEsol level of DFT.

```
Ca2Zn2Pt
1.0
-2.8043 2.8043 3.6006
2.8043 -2.8043 3.6006
2.8043 2.8043 -3.6006
Ca Zn Pt
2 2 1
Direct
0.2500 0.7500 0.5000
0.7500 0.2500 0.5000
0.1598 0.1598 0.0000
0.8402 0.8402 0.0000
0.5000 0.5000 0.0000
```

As for the total energy: -3.11 eV per atom. As for the formation energy: -0.235 eV per atom.

[6]
Computed, not measured: a geometry-optimized Ca2ZnPt structure at the PBEsol level of DFT.

```
Ca2ZnPt
1.0
4.2784 0.0000 0.0000
0.0000 2.0690 5.3278
0.0000 -2.0690 5.3278
Ca Zn Pt
2 1 1
Direct
0.0000 0.0000 0.0000
0.5000 0.2856 0.2856
0.5000 0.5814 0.5814
0.0000 0.7085 0.7085
```

As for the total energy: -3.81 eV per atom. As for the formation energy: -0.608 eV per atom.

[7]
Computed, not measured: a geometry-optimized CaZn2Pt structure at the PBEsol level of DFT.

```
CaZn2Pt
1.0
2.7438 -4.8627 0.0000
2.7438 4.8627 0.0000
-1.2683 0.0000 2.6060
Ca Zn Pt
1 2 1
Direct
0.0000 0.0000 0.0000
0.0000 0.5000 0.5000
0.5000 0.0000 0.5000
0.5000 0.5000 0.0000
```

As for the total energy: -3.22 eV per atom. As for the formation energy: -0.151 eV per atom.

[8]
Computed, not measured: a geometry-optimized CaZnPt structure at the PBEsol level of DFT.

```
CaZnPt
1.0
4.3085 0.0000 0.0000
-2.1542 3.7312 0.0000
0.0000 0.0000 3.7904
Ca Zn Pt
1 1 1
Direct
0.0000 0.0000 0.0000
0.6667 0.3333 0.5000
0.3333 0.6667 0.5000
```

As for the total energy: -4.22 eV per atom. As for the formation energy: -0.657 eV per atom.

[9]
Computed, not measured: a geometry-optimized CaZnPt structure at the PBEsol level of DFT.

```
CaZnPt
1.0
2.0659 -5.1104 0.0000
2.0659 5.1104 0.0000
0.0000 0.0000 5.4941
Ca Zn Pt
2 2 2
Direct
0.2123 0.7877 0.7500
0.7877 0.2123 0.2500
0.5000 0.5000 0.0000
0.5000 0.5000 0.5000
0.0738 0.9262 0.2500
0.9262 0.0738 0.7500
```

As for the total energy: -4.28 eV per atom. As for the formation energy: -0.717 eV per atom.

[10]
Computed, not measured: a geometry-optimized CaZn2Pt structure at the PBEsol level of DFT.

```
CaZn2Pt
1.0
3.7233 -2.1453 0.0000
3.7233 2.1453 0.0000
-2.4665 0.0000 4.8453
Ca Zn Pt
1 2 1
Direct
0.0000 0.0000 0.0000
0.2053 0.2053 0.6160
0.7947 0.7947 0.3840
0.5000 0.5000 0.5000
```

As for the total energy: -3.58 eV per atom. As for the formation energy: -0.513 eV per atom.

[11]
Computed, not measured: a geometry-optimized CaZn2Pt2 structure at the PBEsol level of DFT.

```
CaZn2Pt2
1.0
-2.0588 2.0588 5.2302
2.0588 -2.0588 5.2302
2.0588 2.0588 -5.2302
Ca Zn Pt
1 2 2
Direct
0.0000 0.0000 0.0000
0.3857 0.3857 0.0000
0.6143 0.6143 0.0000
0.2500 0.7500 0.5000
0.7500 0.2500 0.5000
```

As for the total energy: -4.43 eV per atom. As for the polymorph energy (0 for the lowest one): 10 meV/atom. As for the formation energy: -0.589 eV per atom.

[12]
Computed, not measured: a geometry-optimized CaZn2Pt structure at the PBEsol level of DFT.

```
CaZn2Pt
1.0
3.3071 0.0000 0.0000
0.0000 3.3184 0.0000
0.0000 0.0000 6.5317
Ca Zn Pt
1 2 1
Direct
0.0000 0.0000 0.0000
0.0000 0.0000 0.4685
0.5000 0.5000 0.6800
0.5000 0.5000 0.2838
```

As for the total energy: -3.45 eV per atom. As for the formation energy: -0.389 eV per atom.